First-principles (GGA-PBE) data for a relaxed structure of LaMg4Si2, as listed in Alexandria via LeMat-Bulk.

Calculated values
Formation energy (no corrections), eV per atom: -0.31
Space-group type: P4_2/mnm, No. 136
Energy, eV per atom: -3.47
M_tot, μB per atom: 0.00

```
14
Lattice="4.281 0.000 0.000 0.000 8.465 0.000 0.000 0.000 8.465" Properties=species:S:1:pos:R:3 pbc="T T T"
Mg 0.000 5.600 7.682
Mg 2.141 3.450 7.097
Mg 2.141 1.368 5.015
Mg 0.000 0.783 2.865
Mg 0.000 7.682 5.600
Mg 2.141 5.015 1.368
Mg 2.141 7.097 3.450
Mg 0.000 2.865 0.783
Si 0.000 1.716 6.748
Si 2.141 5.949 5.949
Si 2.141 2.516 2.516
Si 0.000 6.748 1.716
La 0.000 4.232 4.232
La 2.141 0.000 0.000
```